Entry 1:
This record from Alexandria via LeMat-Bulk describes an optimized crystal structure of AcLa7Dy3. The functional is PBE.

```
11
Lattice="6.660 0.078 -0.587 -0.605 7.830 0.457 0.131 0.699 7.834" Properties=species:S:1:pos:R:3 pbc="T T T"
Ac 3.093 4.304 3.852
La 1.240 1.995 1.804
La 1.256 7.752 4.772
La 4.664 3.437 0.262
La 1.522 5.170 7.442
La -0.237 4.265 4.146
La 4.930 0.856 2.932
La 4.946 6.613 5.900
Dy 6.179 6.712 1.108
Dy 3.330 0.039 -0.294
Dy 0.007 1.896 6.596
```

Summary:
**N(E_F)**: 1.448 states/eV per atom
**ΔE_f**: 0.2037 eV per atom
**Symmetry**: C2/m, No. 12


Entry 2:
This record from Alexandria via LeMat-Bulk describes an optimized crystal structure of AcLaDy14. The functional is PBE.

```
16
Lattice="7.291 -0.082 0.000 -3.536 6.376 0.000 0.000 0.000 11.436" Properties=species:S:1:pos:R:3 pbc="T T T"
Ac -1.757 5.315 0.000
La 3.661 2.083 0.000
Dy 3.678 2.073 5.718
Dy -1.736 5.303 5.718
Dy 0.042 2.115 0.000
Dy 0.029 2.116 5.718
Dy 1.914 5.252 0.000
Dy 1.906 5.263 5.718
Dy 1.844 1.046 8.494
Dy 1.844 1.046 2.942
Dy 3.711 4.174 8.494
Dy 3.711 4.174 2.942
Dy 5.501 0.986 8.547
Dy 5.501 0.986 2.889
Dy 0.095 4.210 8.525
Dy 0.095 4.210 2.911
```

Summary:
**N(E_F)**: 1.724 states/eV per atom
**ΔE_f**: 0.0274 eV per atom
**Symmetry**: Amm2, No. 38


Entry 3:
This record from Alexandria via LeMat-Bulk describes an optimized crystal structure of Ac2La4Dy5. The functional is PBE.

```
11
Lattice="-3.587 -0.224 -1.158 0.464 -9.128 0.331 -1.975 5.054 11.294" Properties=species:S:1:pos:R:3 pbc="T T T"
Ac -2.259 -6.064 2.014
Ac -2.839 1.767 8.452
La -2.959 -2.667 3.523
La -0.143 -2.933 1.012
La -2.140 -1.631 6.943
La -4.955 -1.365 9.455
Dy -0.886 0.061 2.732
Dy -4.212 -4.359 7.734
Dy -1.508 -5.180 5.674
Dy -1.794 -0.112 -0.579
Dy -3.590 0.882 4.793
```

Summary:
**N(E_F)**: 1.585 states/eV per atom
**ΔE_f**: 0.0415 eV per atom
**Symmetry**: C2/m, No. 12


Entry 4:
This record from Alexandria via LeMat-Bulk describes an optimized crystal structure of AcLaDy4. The functional is PBE.

```
12
Lattice="5.773 0.000 0.000 0.000 7.178 -0.051 0.000 0.060 9.992" Properties=species:S:1:pos:R:3 pbc="T T T"
Ac 2.886 5.413 4.958
Ac 2.887 1.824 4.983
La 5.773 5.383 -0.038
La 0.000 1.794 -0.013
Dy 0.003 3.630 6.663
Dy 2.889 3.640 8.325
Dy 0.003 7.197 3.253
Dy 2.884 3.598 1.617
Dy 2.889 7.187 1.591
Dy 5.770 0.041 6.688
Dy 2.884 0.051 8.350
Dy 5.770 3.608 3.278
```

Summary:
**N(E_F)**: 1.618 states/eV per atom
**ΔE_f**: 0.0790 eV per atom
**Symmetry**: P2/m, No. 10


Entry 5:
This record from Alexandria via LeMat-Bulk describes an optimized crystal structure of AcLa2Dy6. The functional is PBE.

```
9
Lattice="3.598 0.000 0.000 0.000 8.629 -4.982 0.000 0.000 9.964" Properties=species:S:1:pos:R:3 pbc="T T T"
Ac 1.799 0.000 0.000
La 0.963 5.753 0.000
La 2.634 2.876 4.982
Dy 0.813 5.581 3.417
Dy 0.813 0.169 3.422
Dy 0.813 2.879 8.107
Dy 2.785 3.048 1.565
Dy 2.785 8.461 1.560
Dy 2.785 5.750 -3.125
```

Summary:
**N(E_F)**: 1.567 states/eV per atom
**ΔE_f**: 0.1002 eV per atom
**Symmetry**: P-3, No. 147


Entry 6:
This record from Alexandria via LeMat-Bulk describes an optimized crystal structure of Ac2LaDy. The functional is PBE.

```
4
Lattice="-0.905 4.904 1.871 0.855 -1.769 5.051 5.272 1.159 -0.486" Properties=species:S:1:pos:R:3 pbc="T T T"
Ac 2.636 0.579 -0.243
Ac 0.427 -0.884 2.526
La 2.611 2.147 3.218
Dy -0.453 2.452 0.935
```

Summary:
**N(E_F)**: 1.367 states/eV per atom
**ΔE_f**: 0.0297 eV per atom
**Symmetry**: P4/mmm, No. 123


Entry 7:
This record from Alexandria via LeMat-Bulk describes an optimized crystal structure of Ac5LaDy4. The functional is PBE.

```
10
Lattice="5.321 0.000 1.216 1.808 9.979 4.342 0.729 4.255 9.063" Properties=species:S:1:pos:R:3 pbc="T T T"
Ac 3.202 11.929 10.493
Ac 4.656 2.305 4.128
Ac 3.326 6.877 9.951
Ac 1.269 7.117 6.702
Ac 4.532 7.357 4.670
La 0.000 0.000 0.000
Dy 3.992 4.525 7.036
Dy 1.927 4.843 3.822
Dy 5.932 9.390 10.799
Dy 3.867 9.709 7.585
```

Summary:
**N(E_F)**: 1.443 states/eV per atom
**ΔE_f**: 0.0455 eV per atom
**Symmetry**: C2/m, No. 12


Entry 8:
This record from Alexandria via LeMat-Bulk describes an optimized crystal structure of AcLa3Dy. The functional is PBE.

```
10
Lattice="-2.203 5.714 0.795 0.768 -3.630 4.239 12.498 4.588 1.663" Properties=species:S:1:pos:R:3 pbc="T T T"
Ac 6.249 2.294 0.832
Ac 0.000 0.000 0.000
La 9.333 3.347 1.810
La 1.730 3.324 4.886
La 7.488 2.260 4.512
La 3.576 4.412 2.185
La 0.304 3.211 1.750
La 10.760 3.460 4.947
Dy 2.937 0.711 3.027
Dy 8.127 5.960 3.670
```

Summary:
**N(E_F)**: 1.230 states/eV per atom
**ΔE_f**: 0.2324 eV per atom
**Symmetry**: Cmcm, No. 63


Entry 9:
This record from Alexandria via LeMat-Bulk describes an optimized crystal structure of Ac2La5Dy3. The functional is PBE.

```
20
Lattice="-2.059 1.665 -10.294 6.478 -4.696 -6.971 -6.611 -4.434 8.551" Properties=species:S:1:pos:R:3 pbc="T T T"
Ac -6.425 -2.174 -1.801
Ac 4.233 -5.292 -6.913
Ac -1.251 -5.978 -3.469
Ac -0.941 -1.488 -5.245
La 2.607 -2.091 -6.061
La -4.799 -5.375 -2.653
La 1.440 -5.893 -0.955
La -2.940 -2.863 -2.619
La -3.632 -1.574 -7.759
La 0.748 -4.603 -6.096
La -2.748 -4.831 -6.919
La 0.556 -2.635 -1.795
La -4.935 -3.331 1.649
La 2.743 -4.135 -10.363
Dy -0.439 -8.433 -0.990
Dy -1.752 0.967 -7.724
Dy -0.127 -2.078 -8.570
Dy -2.065 -5.388 -0.144
Dy 3.387 -4.745 -3.589
Dy -5.579 -2.721 -5.126
```

Summary:
**N(E_F)**: 1.764 states/eV per atom
**ΔE_f**: 0.1747 eV per atom
**Symmetry**: C2/c, No. 15


Entry 10:
This record from Alexandria via LeMat-Bulk describes an optimized crystal structure of Ac3LaDy. The functional is PBE.

```
20
Lattice="-3.955 -3.170 4.299 -5.375 -3.103 -7.232 7.554 -10.771 -0.993" Properties=species:S:1:pos:R:3 pbc="T T T"
Ac -0.862 -7.443 -0.294
Ac 2.251 -7.477 -2.593
Ac 1.842 -10.841 0.143
Ac 0.043 -3.871 -1.510
Ac -2.657 -3.188 1.192
Ac 5.739 -10.755 -1.801
Ac -7.515 -6.289 -2.124
Ac 0.881 -13.856 -5.117
Ac -1.819 -13.173 -2.415
Ac -3.618 -6.203 -4.068
Ac -4.027 -9.567 -1.332
Ac -0.914 -9.601 -3.631
La 2.349 -5.552 0.636
La 1.250 -8.389 2.671
La -3.237 -2.970 -2.599
La 1.462 -14.074 -1.326
Dy -0.657 -5.670 2.921
Dy 4.256 -8.271 0.386
Dy 2.410 -11.022 -3.341
Dy -4.186 -6.022 -0.584
```

Summary:
**N(E_F)**: 1.496 states/eV per atom
**ΔE_f**: 0.1684 eV per atom
**Symmetry**: Pnna, No. 52


Entry 11:
This record from Alexandria via LeMat-Bulk describes an optimized crystal structure of Ac2LaDy5. The functional is PBE.

```
32
Lattice="-0.959 -7.299 -0.856 6.981 -1.137 1.870 -5.579 -1.596 19.859" Properties=species:S:1:pos:R:3 pbc="T T T"
Ac -3.510 -6.284 9.286
Ac 3.252 -2.382 0.722
Ac -3.028 -2.611 9.717
Ac 2.769 -6.055 0.291
Ac 1.149 -5.490 13.438
Ac -0.706 -4.542 7.435
Ac 4.135 -4.724 3.561
Ac -3.693 -5.308 17.311
La -3.202 -1.662 17.753
La 4.604 -1.072 3.976
La -0.242 -0.891 7.869
La 1.644 -1.842 13.860
Dy -0.722 -5.494 -0.644
Dy 0.464 -3.172 10.653
Dy -0.237 -1.805 -0.212
Dy -0.021 -6.860 10.220
Dy -1.768 -1.285 12.936
Dy 3.170 -1.448 8.793
Dy 1.041 -0.490 3.012
Dy 0.361 -2.243 18.717
Dy -2.278 -4.931 12.510
Dy 2.721 -5.102 8.363
Dy 0.587 -4.145 2.600
Dy -0.144 -5.887 18.272
Dy -1.489 -7.262 15.177
Dy 1.444 -6.484 5.260
Dy -1.565 -2.204 4.785
Dy 2.496 -4.115 16.523
Dy 1.932 -2.770 5.695
Dy -1.001 -3.548 15.613
Dy 2.008 -7.829 16.088
Dy -2.054 -5.918 4.349
```

Summary:
**N(E_F)**: 1.184 states/eV per atom
**ΔE_f**: 0.0379 eV per atom
**Symmetry**: Pbam, No. 55


Entry 12:
This record from Alexandria via LeMat-Bulk describes an optimized crystal structure of AcLaDy. The functional is PBE.

```
6
Lattice="3.780 0.000 0.000 0.000 3.780 0.000 0.000 0.000 15.794" Properties=species:S:1:pos:R:3 pbc="T T T"
Ac 0.000 1.890 3.826
Ac 1.890 0.000 11.967
La 0.000 1.890 9.200
La 1.890 0.000 6.594
Dy 1.890 0.000 1.156
Dy 0.000 1.890 14.638
```

Summary:
**N(E_F)**: 1.767 states/eV per atom
**ΔE_f**: 0.0422 eV per atom
**Symmetry**: P4/nmm, No. 129